Record 1
Below is an optimized crystal structure of CeAl7Ga12, with properties calculated at the GGA-PBE level.

Calculated values
Crystal system   cubic
V   882.0 Å³/cell
Electronic total energy   -3.25 eV/atom
N(E_F)   0.829 states/eV/atom
Size of the total moment   2.93 μB per cell

a = 9.5903 Å, b = 9.5903 Å, c = 9.5903 Å
α = 90.00°, β = 90.00°, γ = 90.00°
With the nearest neighbours (Å) after each atom.
Space group Im-3 (No. 204)
Unique sites:
Ce: 0.0000 0.0000 0.0000  12 Ga 4.08, 8 Al 4.15
Al: 0.0000 0.0000 0.5000  8 Ga 2.68-2.88
Al: 0.2500 0.2500 0.2500  6 Ga 2.59
Ga: 0.0000 0.2378 0.3526  4 Al 2.59-2.88, 1 Ga 2.83

Record 2
Below is an optimized crystal structure of HoNp3Sb4, with properties calculated at the GGA-PBE level.

Calculated values
Crystal system   orthorhombic
V   478.3 Å³/cell
Electronic total energy   -7.90 eV/atom
E_form (uncorrected)   -0.42 eV per atom
N(E_F)   3.895 states/eV/atom
Size of the total moment   23.76 μB per cell

a = 8.7904 Å, b = 12.4110 Å, c = 4.3838 Å
α = 90.00°, β = 90.00°, γ = 90.00°
With the nearest neighbours (Å) after each atom.
Space group Cmmm (No. 65)
Unique sites:
Ho: 0.0000 0.0000 0.0000  6 Sb 3.09-3.10
Np: 0.0000 0.5000 0.0000  6 Sb 3.11-3.12
Np: 0.2500 0.2500 0.5000  6 Sb 3.10
Sb: 0.0000 0.2489 0.0000  1 Ho 3.09, 5 Np 3.10-3.12
Sb: 0.2488 0.0000 0.5000  2 Ho 3.10, 4 Np 3.10-3.11

Record 3
Below is an optimized crystal structure of YErCo, with properties calculated at the GGA-PBE level.

Calculated values
Crystal system   tetragonal
V   141.8 Å³/cell
Energy relative to the lowest polymorph listed for this composition   2.0 kJ per mole of atoms
Electronic total energy   -6.17 eV/atom
N(E_F)   0.637 states/eV/atom
Size of the total moment   1.39 μB per cell

a = 3.3593 Å, b = 3.3593 Å, c = 12.5626 Å
α = 90.00°, β = 90.00°, γ = 90.00°
With the nearest neighbours (Å) after each atom.
Space group I4mm (No. 107)
Unique sites:
Y: 0.0000 0.0000 0.0000  4 Co 2.90, 1 Er 3.23
Er: 0.0000 0.0000 0.2572  4 Co 2.85
Co: 0.0000 0.0000 0.6319  4 Er 2.85, 4 Y 2.90

Record 4
Below is an optimized crystal structure of Zr2CuGe2, with properties calculated at the GGA-PBE level.

Calculated values
Crystal system   tetragonal
V   178.2 Å³/cell
Electronic total energy   -6.66 eV/atom
N(E_F)   0.281 states/eV/atom
Size of the total moment   0.00 μB per cell

a = 6.6546 Å, b = 6.6546 Å, c = 4.0232 Å
α = 90.00°, β = 90.00°, γ = 90.00°
With the nearest neighbours (Å) after each atom.
Space group P4/mbm (No. 127)
Unique sites:
Zr: 0.1770 0.3230 0.0000  6 Ge 2.70-2.89
Cu: 0.0000 0.0000 0.5000  4 Ge 2.60
Ge: 0.1321 0.6321 0.5000  1 Ge 2.49, 2 Cu 2.60, 2 Zr 2.70

Record 5
Below is an optimized crystal structure of Ta5C3, with properties calculated at the GGA-PBE level.

Calculated values
Crystal system   tetragonal
V   104.3 Å³/cell
Energy relative to the lowest polymorph listed for this composition   21.9 kJ per mole of atoms
Electronic total energy   -10.58 eV/atom
N(E_F)   0.629 states/eV/atom
Size of the total moment   0.00 μB per cell

a = 2.8560 Å, b = 2.8560 Å, c = 12.7812 Å
α = 90.00°, β = 90.00°, γ = 90.00°
With the nearest neighbours (Å) after each atom.
Space group P4/mmm (No. 123)
Unique sites:
Ta: 0.0000 0.0000 0.0000  8 C 2.53, 2 Ta 2.65
Ta: 0.0000 0.0000 0.2073  4 C 2.31
Ta: 0.5000 0.5000 0.3966  4 C 2.41, 1 Ta 2.64
C: 0.0000 0.0000 0.5000  8 Ta 2.41
C: 0.5000 0.5000 0.1195  8 Ta 2.31-2.53

Record 6
Below is an optimized crystal structure of Zr2RuPt, with properties calculated at the GGA-PBE level.

Calculated values
Crystal system   tetragonal
V   73.0 Å³/cell
Electronic total energy   -8.86 eV/atom
N(E_F)   1.021 states/eV/atom
Size of the total moment   0.00 μB per cell

a = 3.3008 Å, b = 3.3008 Å, c = 6.7030 Å
α = 90.00°, β = 90.00°, γ = 90.00°
With the nearest neighbours (Å) after each atom.
Space group P4/mmm (No. 123)
Unique sites:
Zr: 0.0000 0.0000 0.2439  4 Ru 2.85, 4 Pt 2.90
Ru: 0.5000 0.5000 0.0000  8 Zr 2.85
Pt: 0.5000 0.5000 0.5000  8 Zr 2.90